# 1
AcV2AuO7 | PBE with a Hubbard U | optimized geometry

CIF file:
```
data_AcV2AuO7
_cell_length_a 3.763
_cell_length_b 3.763
_cell_length_c 21.447
_cell_angle_alpha 90.00
_cell_angle_beta 90.00
_cell_angle_gamma 90.00
_space_group_name_H-M_alt 'I -4 m 2'
_space_group_IT_number 119
_space_group_name_Hall 'I -4 -2'
loop_
_atom_site_label
_atom_site_type_symbol
_atom_site_fract_x
_atom_site_fract_y
_atom_site_fract_z
_atom_site_occupancy
Ac1 Ac 0.000 0.000 0.000 1
V1 V 0.000 0.000 0.393 1
Au1 Au 0.000 0.500 0.250 1
O1 O 0.000 0.000 0.313 1
O2 O 0.000 0.000 0.500 1
O3 O 0.000 0.500 0.094 1
O4 O 0.000 0.500 0.590 1
```

Results
Magnetic moment = 0.000 μB per atom
Electronic total energy = -155.2 eV per cell

=====

# 2
AcVAuO5 | PBE with a Hubbard U | optimized geometry

CIF file:
```
data_AcVAuO5
_cell_length_a 9.174
_cell_length_b 9.006
_cell_length_c 9.139
_cell_angle_alpha 90.00
_cell_angle_beta 117.58
_cell_angle_gamma 90.00
_space_group_name_H-M_alt 'C 1 2/c 1'
_space_group_IT_number 15
loop_
_space_group_symop_operation_xyz
'x,y,z'
'-x,-y,-z'
'-x,y,-z+1/2'
'x,-y,z+1/2'
'x+1/2,y+1/2,z'
'-x+1/2,-y+1/2,-z'
'-x+1/2,y+1/2,-z+1/2'
'x+1/2,-y+1/2,z+1/2'
loop_
_atom_site_label
_atom_site_type_symbol
_atom_site_fract_x
_atom_site_fract_y
_atom_site_fract_z
_atom_site_occupancy
Ac1 Ac 0.250 0.250 0.000 1
V1 V 0.000 0.113 0.250 1
Au1 Au 0.000 0.430 0.250 1
O1 O 0.000 0.353 0.750 1
O2 O 0.086 0.237 0.158 1
O3 O 0.148 0.003 0.395 1
```

Results
DOS at the Fermi energy = 0.001 states/eV/atom
Magnetic moment = 0.125 μB per atom
Electronic total energy = -218.1 eV per cell

=====

# 3
Ac2VAuO6 | PBE with a Hubbard U | optimized geometry

CIF file:
```
data_Ac2VAuO6
_cell_length_a 5.655
_cell_length_b 5.655
_cell_length_c 5.065
_cell_angle_alpha 90.00
_cell_angle_beta 90.00
_cell_angle_gamma 90.00
_space_group_name_H-M_alt 'P 4 m m'
_space_group_IT_number 99
loop_
_space_group_symop_operation_xyz
'x,y,z'
'-y,x,z'
'-x,-y,z'
'y,-x,z'
'-x,y,z'
'y,x,z'
'x,-y,z'
'-y,-x,z'
loop_
_atom_site_label
_atom_site_type_symbol
_atom_site_fract_x
_atom_site_fract_y
_atom_site_fract_z
_atom_site_occupancy
Ac1 Ac 0.000 0.500 0.000 1
V1 V 0.000 0.000 0.597 1
Au1 Au 0.500 0.500 0.472 1
O1 O 0.000 0.000 0.248 1
O2 O 0.220 0.220 0.717 1
O3 O 0.500 0.500 0.066 1
```

Results
DOS at the Fermi energy = 0.000 states/eV/atom
Magnetic moment = 0.000 μB per atom
Electronic total energy = -71.0 eV per cell